DFT (PBE-GGA) results for a relaxed NiSnAs2Se crystal.

```
data_NiSnAs2Se
_chemical_formula_sum 'Ni1 Sn1 As2 Se1'
_space_group_name_H-M_alt 'P 1'
_space_group_IT_number 1
_cell_length_a 5.2139
_cell_length_b 5.2139
_cell_length_c 5.2470
_cell_angle_alpha 90.00
_cell_angle_beta 90.00
_cell_angle_gamma 90.00
loop_
_space_group_symop_operation_xyz
'x,y,z'
loop_
_atom_site_label
_atom_site_type_symbol
_atom_site_fract_x
_atom_site_fract_y
_atom_site_fract_z
_atom_site_occupancy
As1 As 0.0000 0.5000 0.0000 1
As2 As 0.5000 0.0000 0.0000 1
Se1 Se 0.0000 0.0000 0.5000 1
Ni1 Ni 0.5000 0.5000 0.5000 1
Sn1 Sn 0.0000 0.0000 0.0000 1
```

Output
Distance to the lowest polymorph of the same formula (meV per atom): 1004
Energy relative to the elements, uncorrected (eV/atom): 1.250
Volume (Å³/f.u.): 143